[1]
The following is a DFT calculation (GGA-PBE) of a geometry-optimized ErURe structure.

Values from the calculation:
The calculation puts the distance to the lowest polymorph of the same formula at 7.22 kcal/mol of atoms. The total DFT energy (no corrections) is -8.98 eV per atom. For the volume, the calculation gives 21.81 Å³ per atom. The value obtained for the energy relative to the elements is 0.4569 eV/atom. Its space-group type is No. 59.

abc: 3.1700 4.9394 8.3557
angles: 90.00 90.00 90.00
Last column: nearest neighbours and their distance in Å.
Positions (direct):
Er: 0.5000 0.0000 0.6208  2 Er 3.17, 5 U 3.21-3.32, 2 Re 3.26
Er: 0.0000 0.5000 0.3792  2 Er 3.17, 5 U 3.21-3.32, 2 Re 3.26
U: 0.5000 0.0000 0.2239  4 Re 2.70-2.92
U: 0.0000 0.5000 0.7761  4 Re 2.70-2.92
Re: 0.0000 0.0000 0.9619  4 U 2.70-2.92, 4 Re 3.00
Re: 0.5000 0.5000 0.0381  4 U 2.70-2.92, 4 Re 3.00

[2]
The following is a DFT calculation (GGA-PBE) of a geometry-optimized ErU2Re9 structure.

Values from the calculation:
The total DFT energy (no corrections) is -11.57 eV per atom. For the volume, the calculation gives 18.00 Å³ per atom. The value obtained for the energy relative to the elements is 0.0300 eV/atom. Its space-group type is No. 166.

abc: 5.2200 5.2200 9.6349
angles: 74.28 74.28 60.01
Last column: nearest neighbours and their distance in Å.
Positions (direct):
Er: 0.0000 0.0000 0.0000  6 Re 3.01-3.02
U: 0.8515 0.8515 0.4453  12 Re 3.05-3.18, 3 U 3.18
U: 0.1485 0.1485 0.5547  12 Re 3.05-3.18, 3 U 3.18
Re: 0.6653 0.6653 0.0047  8 Re 2.69-3.01, 3 Er 3.01-3.02
Re: 0.3347 0.3347 0.9953  8 Re 2.69-3.01, 3 Er 3.01-3.02
Re: 0.5000 0.5000 0.5000  6 Re 2.77, 6 U 3.05-3.06
Re: 0.4157 0.4157 0.2474  7 Re 2.58-2.77
Re: 0.9212 0.4156 0.2475  7 Re 2.58-2.77
Re: 0.4156 0.9212 0.2475  7 Re 2.58-2.77
Re: 0.5843 0.5843 0.7526  7 Re 2.58-2.77
Re: 0.5844 0.0788 0.7525  7 Re 2.58-2.77
Re: 0.0788 0.5844 0.7525  7 Re 2.58-2.77

[3]
The following is a DFT calculation (GGA-PBE) of a geometry-optimized Er2VRe3 structure.

Values from the calculation:
The total DFT energy (no corrections) is -9.49 eV per atom. For the volume, the calculation gives 18.37 Å³ per atom. The value obtained for the energy relative to the elements is -0.2225 eV/atom. Its space-group type is No. 12.

abc: 5.3697 5.3697 5.3930
angles: 90.05 119.78 120.02
Last column: nearest neighbours and their distance in Å.
Positions (direct):
Er: 0.7525 0.3763 0.1288  9 Re 3.14-3.18, 3 V 3.15, 4 Er 3.28-3.30
Er: 0.2475 0.6237 0.8712  9 Re 3.14-3.18, 3 V 3.15, 4 Er 3.28-3.30
V: 0.0000 0.0000 0.0000  6 Re 2.70
Re: 0.5000 0.5000 0.5000  4 Re 2.68, 2 V 2.70
Re: 0.0000 0.0000 0.5000  4 Re 2.68, 2 V 2.70
Re: 0.5000 0.0000 0.5000  4 Re 2.68, 2 V 2.70

[4]
The following is a DFT calculation (GGA-PBE) of a geometry-optimized ErVRe2 structure.

Values from the calculation:
The total DFT energy (no corrections) is -9.32 eV per atom. For the volume, the calculation gives 16.96 Å³ per atom. The value obtained for the energy relative to the elements is 0.3201 eV/atom. Its space-group type is No. 166.

abc: 2.9821 2.9821 8.9755
angles: 80.44 80.44 60.00
Last column: nearest neighbours and their distance in Å.
Positions (direct):
Re: 0.7392 0.7392 0.7824  3 V 2.58
Re: 0.2608 0.2608 0.2176  3 V 2.58
V: 0.0000 0.0000 0.0000  6 Re 2.58
Er: 0.5000 0.5000 0.5000  6 Er 2.98, 6 Re 3.03

[5]
The following is a DFT calculation (GGA-PBE) of a geometry-optimized ErVRe4 structure.

Values from the calculation:
The total DFT energy (no corrections) is -10.53 eV per atom. For the volume, the calculation gives 17.27 Å³ per atom. The value obtained for the energy relative to the elements is 0.0521 eV/atom. Its space-group type is No. 216.

abc: 5.2723 5.2723 5.2723
angles: 60.00 60.00 60.00
Last column: nearest neighbours and their distance in Å.
Positions (direct):
Re: 0.6250 0.6250 0.1251  6 Re 2.64
Re: 0.6250 0.1251 0.6250  6 Re 2.64
Re: 0.6250 0.6250 0.6250  6 Re 2.64
Re: 0.1251 0.6250 0.6250  6 Re 2.64
V: 0.2500 0.2500 0.2500  12 Re 3.09, 4 Er 3.23
Er: 0.0000 0.0000 0.0000  12 Re 3.09, 4 V 3.23

[6]
The following is a DFT calculation (GGA-PBE) of a geometry-optimized YErRe structure.

Values from the calculation:
The total DFT energy (no corrections) is -7.66 eV per atom. For the volume, the calculation gives 26.25 Å³ per atom. The value obtained for the energy relative to the elements is 0.1688 eV/atom. Its space-group type is No. 64.

abc: 6.6125 6.7939 8.0260
angles: 90.00 90.00 119.12
Last column: nearest neighbours and their distance in Å.
Positions (direct):
Re: 0.5947 0.1893 0.5545  1 Re 2.41
Re: 0.9053 0.8107 0.0545  1 Re 2.41
Re: 0.4053 0.8107 0.4455  1 Re 2.41
Re: 0.0947 0.1893 0.9455  1 Re 2.41
Er: 0.3071 0.1143 0.2500  4 Re 2.91-2.98
Er: 0.1929 0.8857 0.7500  4 Re 2.91-2.98
Er: 0.6929 0.8857 0.7500  4 Re 2.91-2.98
Er: 0.8071 0.1143 0.2500  4 Re 2.91-2.98
Y: 0.8128 0.6257 0.3956  2 Re 2.89-2.95
Y: 0.6872 0.3743 0.8956  2 Re 2.89-2.95
Y: 0.1872 0.3743 0.6044  2 Re 2.89-2.95
Y: 0.3128 0.6257 0.1044  2 Re 2.89-2.95